Entry from Alexandria: an optimized crystal structure of CePrTm2Tl4 (PBE-GGA).

Cell and atoms, written as POSCAR:
```
CePrTm2Tl4
1.0
2.713 1.566 8.882
-2.713 1.566 8.882
0.000 -3.133 8.882
Ce Pr Tm Tl
1 1 2 4
direct
0.000 0.000 0.000
0.500 0.500 0.500
0.250 0.250 0.250
0.750 0.750 0.750
0.124 0.124 0.124
0.375 0.375 0.375
0.625 0.625 0.625
0.876 0.876 0.876
```

Properties
The calculation puts the formation energy at -0.299 eV per atom. The density is 10.5 Mg/m³. The calculation puts the calculated volume at 226 Å³ per cell. The calculation puts the total magnetization at 0.133 μB per atom.